1.
The following is a PBE calculation of a relaxed Li4CeEu crystal, from Alexandria via LeMat-Bulk.

## Properties
- E (Ha/atom) = -0.140
- ΔH_f (0 K) (eV/f.u.) = 0.95
- symmetry = F-43m

abc: 6.0612 6.0612 6.0612
angles: 60.00 60.00 60.00
With the nearest neighbours (Å) after each atom.
Fractional coordinates of all 6 atoms:
Li (0.1247, 0.1247, 0.1247)  6 Li 3.02-3.04
Li (0.1247, 0.1247, 0.6259)  6 Li 3.02-3.04
Li (0.1247, 0.6259, 0.1247)  6 Li 3.02-3.04
Li (0.6259, 0.1247, 0.1247)  6 Li 3.02-3.04
Ce (0.7500, 0.7500, 0.7500)  12 Li 3.55, 4 Eu 3.71
Eu (0.5000, 0.5000, 0.5000)  12 Li 3.55, 4 Ce 3.71

***

2.
The following is a PBE calculation of a relaxed TaAl2C2 crystal, from Alexandria via LeMat-Bulk.

## Properties
- E (Ha/atom) = -0.251
- relative energy among the computed polymorphs (meV per atom) = 459
- ΔH_f (0 K) (eV/f.u.) = 3.70
- symmetry = I4/mmm

abc: 5.2222 5.2222 5.2222
angles: 140.71 140.71 56.77
With the nearest neighbours (Å) after each atom.
Fractional coordinates of all 5 atoms:
Ta (0.0000, 0.0000, 0.0000)  8 C 2.58
Al (0.2500, 0.7500, 0.5000)  4 C 2.37, 4 Al 2.48
Al (0.7500, 0.2500, 0.5000)  4 C 2.37, 4 Al 2.48
C (0.4231, 0.4231, 0.0000)  1 C 1.41
C (0.5769, 0.5769, 0.0000)  1 C 1.41

***

3.
The following is a PBE calculation of a relaxed Nd2ZnCu2 crystal, from Alexandria via LeMat-Bulk.

## Properties
- E (Ha/atom) = -0.147
- ΔH_f (0 K) (eV/f.u.) = -1.02
- symmetry = P4/mbm

abc: 7.5108 7.5108 3.9206
angles: 90.00 90.00 90.00
With the nearest neighbours (Å) after each atom.
Fractional coordinates of all 10 atoms:
Nd (0.1796, 0.3204, 0.0000)  6 Cu 2.91-3.01
Nd (0.3204, 0.8204, 0.0000)  6 Cu 2.91-3.01
Nd (0.6796, 0.1796, 0.0000)  6 Cu 2.91-3.01
Nd (0.8204, 0.6796, 0.0000)  6 Cu 2.91-3.01
Zn (0.0000, 0.0000, 0.5000)  4 Cu 3.00
Zn (0.5000, 0.5000, 0.5000)  4 Cu 3.00
Cu (0.1186, 0.6186, 0.5000)  1 Cu 2.52
Cu (0.3814, 0.1186, 0.5000)  1 Cu 2.52
Cu (0.6186, 0.8814, 0.5000)  1 Cu 2.52
Cu (0.8814, 0.3814, 0.5000)  1 Cu 2.52

***

4.
The following is a PBE calculation of a relaxed CrP2Rh crystal, from Alexandria via LeMat-Bulk.

## Properties
- E (Ha/atom) = -0.261
- relative energy among the computed polymorphs (meV per atom) = 242
- ΔH_f (0 K) (eV/f.u.) = -0.59
- symmetry = I-42d

abc: 6.4160 6.4160 6.4160
angles: 131.90 131.90 70.38
With the nearest neighbours (Å) after each atom.
Fractional coordinates of all 8 atoms:
Cr (0.0000, 0.0000, 0.0000)  4 P 2.26
Cr (0.7500, 0.2500, 0.5000)  4 P 2.26
P (0.1218, 0.6250, 0.9968)  2 Cr 2.26, 2 Rh 2.28
P (0.3750, 0.3718, 0.4968)  2 Cr 2.26, 2 Rh 2.28
P (0.6282, 0.1250, 0.0032)  2 Cr 2.26, 2 Rh 2.28
P (0.8750, 0.8782, 0.5032)  2 Cr 2.26, 2 Rh 2.28
Rh (0.2500, 0.7500, 0.5000)  4 P 2.28
Rh (0.5000, 0.5000, 0.0000)  4 P 2.28

***

5.
The following is a PBE calculation of a relaxed TbDy2Er5Sc crystal, from Alexandria via LeMat-Bulk.

## Properties
- E (Ha/atom) = -0.169
- ΔH_f (0 K) (eV/f.u.) = 1.51
- symmetry = Cmc2_1

abc: 10.2059 10.2059 10.3053
angles: 90.00 90.00 148.74
With the nearest neighbours (Å) after each atom.
Fractional coordinates of all 18 atoms:
Tb (0.0891, 0.9109, 0.5000)  5 Er 2.99-3.23
Tb (0.9109, 0.0891, 0.0000)  5 Er 2.99-3.23
Dy (0.3863, 0.6137, 0.7803)  1 Sc 3.29, 7 Er 3.42-3.67, 2 Tb 3.59
Dy (0.3885, 0.6115, 0.3584)  9 Er 3.24-3.55, 1 Sc 3.51
Dy (0.6115, 0.3885, 0.8584)  9 Er 3.24-3.55, 1 Sc 3.51
Dy (0.6137, 0.3863, 0.2803)  1 Sc 3.29, 7 Er 3.42-3.67, 2 Tb 3.59
Er (0.0188, 0.9812, 0.7836)  2 Tb 3.08-3.23, 2 Dy 3.39
Er (0.1219, 0.8781, 0.0652)  4 Dy 3.48-3.54, 6 Er 3.54-3.89, 1 Sc 3.58
Er (0.2004, 0.7996, 0.7495)  4 Er 3.35-3.60, 1 Tb 3.38, 2 Sc 3.38, 3 Dy 3.45-3.67
Er (0.2235, 0.7765, 0.3642)  1 Tb 2.99, 1 Dy 3.24, 2 Er 3.35
Er (0.4820, 0.5180, 0.0633)  2 Tb 3.15, 3 Dy 3.31-3.47, 1 Sc 3.50
Er (0.5180, 0.4820, 0.5633)  2 Tb 3.15, 3 Dy 3.31-3.47, 1 Sc 3.50
Er (0.7765, 0.2235, 0.8642)  1 Tb 2.99, 1 Dy 3.24, 2 Er 3.35
Er (0.7996, 0.2004, 0.2495)  4 Er 3.35-3.60, 1 Tb 3.38, 2 Sc 3.38, 3 Dy 3.45-3.67
Er (0.8781, 0.1219, 0.5652)  4 Dy 3.48-3.54, 6 Er 3.54-3.89, 1 Sc 3.58
Er (0.9812, 0.0188, 0.2836)  2 Tb 3.08-3.23, 2 Dy 3.39
Sc (0.3039, 0.6961, 0.0586)  2 Dy 3.29-3.51, 7 Er 3.38-3.58, 2 Tb 3.51
Sc (0.6961, 0.3039, 0.5586)  2 Dy 3.29-3.51, 7 Er 3.38-3.58, 2 Tb 3.51

***

6.
The following is a PBE calculation of a relaxed Mn3NbAg crystal, from Alexandria via LeMat-Bulk.

## Properties
- E (Ha/atom) = -0.249
- relative energy among the computed polymorphs (meV per atom) = 0
- ΔH_f (0 K) (eV/f.u.) = 6.48
- symmetry = Pm-3m

abc: 4.6999 4.6999 4.6999
angles: 90.00 90.00 90.00
With the nearest neighbours (Å) after each atom.
Fractional coordinates of all 5 atoms:
Mn (0.0000, 0.0000, 0.5000)  2 Nb 2.35
Mn (0.0000, 0.5000, 0.0000)  2 Nb 2.35
Mn (0.5000, 0.0000, 0.0000)  2 Nb 2.35
Nb (0.0000, 0.0000, 0.0000)  6 Mn 2.35
Ag (0.5000, 0.5000, 0.5000)  12 Mn 3.32

***

> What is the E in the second record?

-0.251 Ha/atom